Computed, not measured: ScCoO2 after structural relaxation at the PBE+U level of DFT.

Summary:
DOS(E_F)   2.93 states/eV/cell
Symmetry   I-42d
ΔE to the lowest computed polymorph   1.03 eV/f.u.
Total moment   2.053 μB per formula unit
Total DFT energy (no corrections)   -7.352 eV per atom

Lattice parameters (Å, degrees): 4.657 4.657 5.872 66.64 66.64 90.00
Fractional positions:
Sc: 0.500 0.500 0.000
O: 0.875 0.870 0.750
Sc: 0.250 0.750 0.500
O: 0.130 0.625 0.250
O: 0.620 0.125 0.250
Co: 0.000 0.000 0.000
O: 0.375 0.380 0.750
Co: 0.750 0.250 0.500